# Li2TaRh GGA-PBE relaxed
# **Offset from the most stable computed form**: 0.0598 eV per atom
# **N(E_F)**: 1.8 states/eV/f.u.
# **E_tot**: -5.72 eV/atom
data_Li2TaRh
_cell_length_a 5.221
_cell_length_b 9.924
_cell_length_c 2.836
_cell_angle_alpha 90.00
_cell_angle_beta 120.71
_cell_angle_gamma 90.00
_symmetry_space_group_name_H-M 'C 1 2/m 1'
_symmetry_Int_Tables_number 12
loop_
_symmetry_equiv_pos_as_xyz
'x,y,z'
'-x,-y,-z'
'-x,y,-z'
'x,-y,z'
'x+1/2,y+1/2,z'
'-x+1/2,-y+1/2,-z'
'-x+1/2,y+1/2,-z'
'x+1/2,-y+1/2,z'
loop_
_atom_site_label
_atom_site_fract_x
_atom_site_fract_y
_atom_site_fract_z
Li1 0.250 0.250 0.000
Ta1 0.000 0.000 0.500
Rh1 0.000 0.500 0.500

# LiTa3Rh GGA-PBE relaxed
# **Offset from the most stable computed form**: 0.1040 eV per atom
# **N(E_F)**: 3.4 states/eV/f.u.
# **E_tot**: -7.81 eV/atom
data_LiTa3Rh
_cell_length_a 4.844
_cell_length_b 4.844
_cell_length_c 4.844
_cell_angle_alpha 90.00
_cell_angle_beta 90.00
_cell_angle_gamma 90.00
_symmetry_space_group_name_H-M 'P m -3 m'
_symmetry_Int_Tables_number 221
_symmetry_space_group_name_Hall '-P 4 2 3'
loop_
_atom_site_label
_atom_site_fract_x
_atom_site_fract_y
_atom_site_fract_z
Li1 0.000 0.000 0.000
Ta1 0.000 0.500 0.500
Rh1 0.500 0.500 0.500

# Li2TaRh GGA-PBE relaxed
# **Offset from the most stable computed form**: 0.2886 eV per atom
# **N(E_F)**: 4.7 states/eV/f.u.
# **E_tot**: -5.49 eV/atom
data_Li2TaRh
_cell_length_a 2.639
_cell_length_b 2.639
_cell_length_c 8.921
_cell_angle_alpha 90.00
_cell_angle_beta 90.00
_cell_angle_gamma 90.00
_symmetry_space_group_name_H-M 'P 4/m m m'
_symmetry_Int_Tables_number 123
_symmetry_space_group_name_Hall '-P 4 2'
loop_
_atom_site_label
_atom_site_fract_x
_atom_site_fract_y
_atom_site_fract_z
Li1 0.000 0.000 0.219
Ta1 0.500 0.500 0.500
Rh1 0.500 0.500 0.000

# LiTaRh GGA-PBE relaxed
# **Offset from the most stable computed form**: 0.0049 eV per atom
# **N(E_F)**: 2.7 states/eV/f.u.
# **E_tot**: -7.16 eV/atom
data_LiTaRh
_cell_length_a 4.2917
_cell_length_b 4.2917
_cell_length_c 2.7877
_cell_angle_alpha 90.00
_cell_angle_beta 90.00
_cell_angle_gamma 120.00
_symmetry_space_group_name_H-M 'P 3 m 1'
_symmetry_Int_Tables_number 156
loop_
_symmetry_equiv_pos_as_xyz
'x,y,z'
'-y,x-y,z'
'-x+y,-x,z'
'-y,-x,z'
'-x+y,y,z'
'x,x-y,z'
loop_
_atom_site_label
_atom_site_fract_x
_atom_site_fract_y
_atom_site_fract_z
Li1 0.0000 0.0000 0.0000
Ta1 0.3333 0.6667 0.6030
Rh1 0.6667 0.3333 0.2506

# LiTaRh GGA-PBE relaxed
# **Offset from the most stable computed form**: 0.1314 eV per atom
# **N(E_F)**: 1.8 states/eV/f.u.
# **E_tot**: -7.04 eV/atom
data_LiTaRh
_cell_length_a 3.009
_cell_length_b 4.603
_cell_length_c 13.854
_cell_angle_alpha 90.00
_cell_angle_beta 90.00
_cell_angle_gamma 90.00
_symmetry_space_group_name_H-M 'F m m 2'
_symmetry_Int_Tables_number 42
_symmetry_space_group_name_Hall 'F 2 -2'
loop_
_atom_site_label
_atom_site_fract_x
_atom_site_fract_y
_atom_site_fract_z
Li1 0.000 0.000 0.000
Ta1 0.000 0.000 0.314
Rh1 0.000 0.000 0.655

# Li2TaRh GGA-PBE relaxed
# **Offset from the most stable computed form**: 0.5466 eV per atom
# **N(E_F)**: 4.3 states/eV/f.u.
# **E_tot**: -5.24 eV/atom
data_Li2TaRh
_cell_length_a 7.014
_cell_length_b 7.014
_cell_length_c 4.960
_cell_angle_alpha 90.00
_cell_angle_beta 90.00
_cell_angle_gamma 90.00
_symmetry_space_group_name_H-M 'I -4 2 d'
_symmetry_Int_Tables_number 122
_symmetry_space_group_name_Hall 'I -4 2bw'
loop_
_atom_site_label
_atom_site_fract_x
_atom_site_fract_y
_atom_site_fract_z
Li1 0.222 0.750 0.125
Ta1 0.000 0.000 0.500
Rh1 0.000 0.000 0.000

# LiTaRh GGA-PBE relaxed
# **Offset from the most stable computed form**: 0.3144 eV per atom
# **N(E_F)**: 3.9 states/eV/f.u.
# **E_tot**: -6.86 eV/atom
data_LiTaRh
_cell_length_a 5.963
_cell_length_b 5.963
_cell_length_c 5.963
_cell_angle_alpha 90.00
_cell_angle_beta 90.00
_cell_angle_gamma 90.00
_symmetry_space_group_name_H-M 'F -4 3 m'
_symmetry_Int_Tables_number 216
_symmetry_space_group_name_Hall 'F -4 2 3'
loop_
_atom_site_label
_atom_site_fract_x
_atom_site_fract_y
_atom_site_fract_z
Li1 0.000 0.000 0.000
Ta1 0.000 0.000 0.500
Rh1 0.250 0.250 0.250

# Li2TaRh GGA-PBE relaxed
# **Offset from the most stable computed form**: 0.0000 eV per atom
# **N(E_F)**: 3.9 states/eV/f.u.
# **E_tot**: -5.78 eV/atom
data_Li2TaRh
_cell_length_a 6.122
_cell_length_b 6.143
_cell_length_c 6.163
_cell_angle_alpha 90.00
_cell_angle_beta 90.00
_cell_angle_gamma 90.00
_symmetry_space_group_name_H-M 'F 2 2 2'
_symmetry_Int_Tables_number 22
_symmetry_space_group_name_Hall 'F 2 2'
loop_
_atom_site_label
_atom_site_fract_x
_atom_site_fract_y
_atom_site_fract_z
Li1 0.000 0.000 0.000
Li2 0.250 0.250 0.250
Ta1 0.000 0.000 0.500
Rh1 0.250 0.250 0.750

Number 1: ΔH_f (0 K) 0.0353 eV per atom. Number 2: ΔH_f (0 K) 1.1528 eV per atom. Number 3: ΔH_f (0 K) 0.2641 eV per atom. Number 4: ΔH_f (0 K) -0.1257 eV per atom. Number 5: ΔH_f (0 K) 0.0009 eV per atom. Number 6: ΔH_f (0 K) 0.5221 eV per atom. Number 7: ΔH_f (0 K) 0.1839 eV per atom. Number 8: ΔH_f (0 K) -0.0245 eV per atom.